The following is a DFT calculation (PBE) of a geometry-optimized Ba3Y2Cu2PtSe10 structure.

The structure belongs to space group C2/m (No. 12); the cell edges are 15.635, 6.985 and 9.371 Å and the angles 90.00°, 108.56° and 90.00°. The distinct sites, in fractional coordinates, are Ba at (0.000, 0.000, 0.000), Ba at (0.157, 0.000, 0.568), Y at (0.172, 0.500, 0.864), Cu at (0.097, 0.500, 0.237), Pt at (0.000, 0.500, 0.500), Se at (0.017, 0.258, 0.710), Se at (0.169, 0.500, 0.545) and Se at (0.180, 0.270, 0.126).

The value obtained for the total energy is -4.936 eV per atom.



The following is a DFT calculation (PBE) of a geometry-optimized BaTaCuPt structure.

The structure belongs to space group F-43m (No. 216); the cell edges are 7.041, 7.041 and 7.041 Å and the angles 90.00°, 90.00° and 90.00°. The distinct sites, in fractional coordinates, are Ba at (0.000, 0.000, 0.000), Ta at (0.000, 0.000, 0.500), Cu at (0.250, 0.250, 0.750) and Pt at (0.250, 0.250, 0.250).

The polymorph energy (0 for the lowest one) comes out at 0.059 eV per atom.



The following is a DFT calculation (PBE) of a geometry-optimized BaTaCuPt structure.

The structure belongs to space group F-43m (No. 216); the cell edges are 6.762, 6.762 and 6.762 Å and the angles 90.00°, 90.00° and 90.00°. The distinct sites, in fractional coordinates, are Ba at (0.000, 0.000, 0.000), Ta at (0.250, 0.250, 0.750), Cu at (0.250, 0.250, 0.250) and Pt at (0.000, 0.000, 0.500).

The polymorph energy (0 for the lowest one) comes out at 0.000 eV per atom.



The following is a DFT calculation (PBE) of a geometry-optimized BaTaCuPt structure.

The structure belongs to space group F-43m (No. 216); the cell edges are 6.804, 6.804 and 6.804 Å and the angles 90.00°, 90.00° and 90.00°. The distinct sites, in fractional coordinates, are Ba at (0.000, 0.000, 0.000), Ta at (0.250, 0.250, 0.250), Cu at (0.000, 0.000, 0.500) and Pt at (0.250, 0.250, 0.750).

The polymorph energy (0 for the lowest one) comes out at 0.298 eV per atom.



The following is a DFT calculation (PBE) of a geometry-optimized Ba3Y2Cu2Te10Pt structure.

The structure belongs to space group C2/m (No. 12); the cell edges are 16.918, 7.242 and 10.250 Å and the angles 90.00°, 109.96° and 90.00°. The distinct sites, in fractional coordinates, are Ba at (0.000, 0.000, 0.000), Ba at (0.157, 0.000, 0.575), Y at (0.171, 0.500, 0.862), Cu at (0.106, 0.500, 0.262), Te at (0.019, 0.249, 0.709), Te at (0.169, 0.500, 0.541), Te at (0.181, 0.268, 0.126) and Pt at (0.000, 0.500, 0.500).

The value obtained for the total energy is -4.456 eV per atom.



The following is a DFT calculation (PBE) of a geometry-optimized Ba4Zn2CuPt structure.

The structure belongs to space group P-6m2 (No. 187); the cell edges are 4.5516, 4.5516 and 16.8594 Å and the angles 90.00°, 90.00° and 120.00°. The distinct sites, in fractional coordinates, are Ba at (0.0000, 0.0000, 0.1249), Ba at (0.3333, 0.6667, 0.3724), Zn at (0.0000, 0.0000, 0.5000), Zn at (0.3333, 0.6667, 0.0000), Cu at (0.6667, 0.3333, 0.5000) and Pt at (0.6667, 0.3333, 0.0000).

The value obtained for the total energy is -2.845 eV per atom.



The following is a DFT calculation (PBE) of a geometry-optimized RbBaCu3 structure.

The structure belongs to space group P-6c2 (No. 188); the cell edges are 6.8687, 6.8687 and 7.3605 Å and the angles 90.00°, 90.00° and 120.00°. The distinct sites, in fractional coordinates, are Rb at (0.0000, 0.0000, 0.0000), Ba at (0.6667, 0.3333, 0.0000) and Cu at (0.1018, 0.5214, 0.2500).

The value obtained for the total energy is -2.371 eV per atom.



The following is a DFT calculation (PBE) of a geometry-optimized RbBaCu structure.

The structure belongs to space group F-43m (No. 216); the cell edges are 8.073, 8.073 and 8.073 Å and the angles 90.00°, 90.00° and 90.00°. The distinct sites, in fractional coordinates, are Rb at (0.000, 0.000, 0.000), Ba at (0.000, 0.000, 0.500) and Cu at (0.250, 0.250, 0.750).

The polymorph energy (0 for the lowest one) comes out at 0.000 eV per atom.



The following is a DFT calculation (PBE) of a geometry-optimized Ba2CuReS6 structure.

The structure belongs to space group Fm-3m (No. 225); the cell edges are 9.593, 9.593 and 9.593 Å and the angles 90.00°, 90.00° and 90.00°. The distinct sites, in fractional coordinates, are Ba at (0.250, 0.250, 0.250), Cu at (0.000, 0.000, 0.000), Re at (0.000, 0.000, 0.500) and S at (0.000, 0.000, 0.252).

The value obtained for the total energy is -5.265 eV per atom.



The following is a DFT calculation (PBE) of a geometry-optimized BaCu2ReSe4 structure.

The structure belongs to space group Ama2 (No. 40); the cell edges are 10.852, 11.413 and 6.637 Å and the angles 90.00°, 90.00° and 90.00°. The distinct sites, in fractional coordinates, are Ba at (0.000, 0.000, 0.000), Cu at (0.123, 0.220, 0.390), Re at (0.250, 0.362, 0.881), Se at (0.083, 0.249, 0.746), Se at (0.250, 0.060, 0.265) and Se at (0.250, 0.380, 0.238).

The value obtained for the total energy is -4.915 eV per atom.



The following is a DFT calculation (PBE) of a geometry-optimized BaScCuSeS2 structure.

The structure belongs to space group Cmcm (No. 63); the cell edges are 3.963, 13.722 and 10.077 Å and the angles 90.00°, 90.00° and 90.00°. The distinct sites, in fractional coordinates, are Ba at (0.000, 0.244, 0.250), Sc at (0.000, 0.000, 0.000), Cu at (0.000, 0.465, 0.750), Se at (0.000, 0.071, 0.750) and S at (0.000, 0.376, 0.555).

The value obtained for the total energy is -5.509 eV per atom.



The following is a DFT calculation (PBE) of a geometry-optimized BaScCuTe2S structure.

The structure belongs to space group Cmcm (No. 63); the cell edges are 4.161, 14.716 and 10.417 Å and the angles 90.00°, 90.00° and 90.00°. The distinct sites, in fractional coordinates, are Ba at (0.000, 0.226, 0.250), Sc at (0.000, 0.500, 0.000), Cu at (0.000, 0.021, 0.750), Te at (0.000, 0.135, 0.556) and S at (0.000, 0.443, 0.750).

The value obtained for the total energy is -5.016 eV per atom.



Mass density (g cm⁻³)
5.83; 10.98; 12.39; 12.16; 6.16; 5.15; 4.57; 3.62; 5.39; 6.19; 4.71; 5.55